Record 1
PBE LiSb3Mo, relaxed; formation energy (no corrections) = 19.74 kcal/mol of atoms; polymorph energy (0 for the lowest one) = 0.488 eV per atom; SG = No. 221
1.0
-0.469 4.170 -2.616
-4.881 -0.051 0.793
0.642 2.657 4.121
Sb Mo Li
3 1 1
Cartesian
-2.440 -0.026 0.396
0.321 1.328 2.060
-0.234 2.085 -1.308
-2.354 3.388 1.149
0.000 0.000 0.000



Record 2
PBE YGeCl6, relaxed; formation energy (no corrections) = -32.49 kcal/mol of atoms; SG = No. 12
1.0
6.398 0.155 0.000
1.718 6.170 0.000
0.859 3.085 6.293
Y Ge Cl
1 1 6
Cartesian
0.000 0.000 0.000
4.058 3.163 0.000
6.020 4.847 4.561
5.162 1.762 1.731
3.814 7.648 4.561
2.955 4.563 1.731
6.026 4.713 0.000
2.091 1.613 0.000



Record 3
PBE Dy5AlAg, relaxed; formation energy from the elements = -0.03 eV/atom; SG = No. 15
1.0
6.151 -1.059 -0.917
0.947 6.169 -0.917
1.794 1.291 9.844
Dy Al Ag
10 2 2
Cartesian
1.187 3.945 1.076
2.800 2.997 4.314
5.015 0.519 5.999
5.835 0.325 1.545
6.058 5.343 8.620
2.834 1.059 -0.609
3.057 6.076 6.467
3.877 5.882 2.013
6.092 3.404 3.698
7.705 2.456 6.935
4.067 2.781 1.545
4.825 3.620 6.467
0.000 0.000 0.000
0.897 0.646 4.922